[1]
## CaMgRh2 (GGA-PBE)

Data for a geometry-optimized CaMgRh2 structure.

Summary:
Its crystal system is tetragonal. For the energy, the calculation gives -4.6699 eV per atom. Its magnetic moment is 0.240 μB per formula unit. The value obtained for the formation energy is -0.095 eV per atom. For the density, the calculation gives 5.87 g cm⁻³.

Cell: 3.356 3.356 6.782 Å, 90.00 90.00 90.00°
Element x y z (fractional)
Ca  0.000  0.000  0.461
Mg  0.500  0.500  0.822
Rh  0.000  0.000  0.993
Rh  0.500  0.500  0.224

=====

[2]
## Tb2InCl (GGA-PBE)

Data for a geometry-optimized Tb2InCl structure.

Summary:
The calculation puts the energy relative to the elements, uncorrected at -513 meV per atom. Its crystal system is trigonal. For the energy, the calculation gives -3.9746 eV per atom. Its magnetic moment is 0.000 μB per formula unit. For the density, the calculation gives 6.94 g cm⁻³.

Cell: 3.469 3.469 10.930 Å, 80.87 80.87 60.00°
Element x y z (fractional)
Cl  0.500  0.500  0.500
Tb  0.098  0.098  0.706
Tb  0.902  0.902  0.294
In  0.000  0.000  0.000

=====

[3]
## FeHIrOs2 (GGA-PBE)

Data for a geometry-optimized FeHIrOs2 structure.

Summary:
Its crystal system is tetragonal. For the energy, the calculation gives -8.4208 eV per atom. Its magnetic moment is 0.470 μB per formula unit. For the density, the calculation gives 18.58 g cm⁻³.

Cell: 3.843 3.843 3.810 Å, 90.00 90.00 90.00°
Element x y z (fractional)
H  0.000  0.000  0.000
Ir  0.500  0.500  0.500
Os  0.000  0.500  0.000
Os  0.500  0.000  0.000
Fe  0.000  0.000  0.500

=====

[4]
## LaNi2Ir (GGA-PBE)

Data for a geometry-optimized LaNi2Ir structure.

Summary:
Its crystal system is trigonal. For the energy, the calculation gives -6.7431 eV per atom. Its magnetic moment is 0.000 μB per formula unit. The value obtained for the formation energy is -0.405 eV per atom. For the density, the calculation gives 9.99 g cm⁻³.

Cell: 4.248 4.248 5.368 Å, 66.64 66.64 59.98°
Element x y z (fractional)
Ni  0.060  0.060  0.821
Ni  0.440  0.440  0.679
Ir  0.750  0.750  0.750
La  0.250  0.250  0.250